[1]
TcOs2W: optimized geometry, PBE-GGA.

Crystal system ... orthorhombic
Energy relative to the elements ... -13.9 meV/atom
SG ... Pmm2

Cell: 2.7805 4.4331 4.8094 Å, 90.00 90.00 90.00°
Positions (direct):
1 Tc 0.0000 0.0000 0.0000
2 Os 0.5000 0.0000 0.4961
3 Os 0.5000 0.5000 0.1568
4 W 0.0000 0.5000 0.6613



[2]
Nd8Co3RuBr4: optimized geometry, PBE-GGA.

Formation energy (no corrections) ... -0.7345 eV per atom
Crystal system ... monoclinic
SG ... C2/m

Cell: 8.0186 8.0186 9.1354 Å, 116.15 116.15 59.90°
Positions (direct):
1 Nd 0.2288 0.7340 0.6961
2 Nd 0.2302 0.2302 0.6900
3 Nd 0.2661 0.2661 0.3042
4 Nd 0.2660 0.7712 0.3039
5 Nd 0.7340 0.2288 0.6961
6 Nd 0.7339 0.7339 0.6958
7 Nd 0.7698 0.7698 0.3100
8 Nd 0.7712 0.2660 0.3039
9 Co 0.0000 0.0000 0.5000
10 Co 0.0000 0.5000 0.5000
11 Co 0.5000 0.0000 0.5000
12 Ru 0.5000 0.5000 0.5000
13 Br 0.0000 0.0000 0.0000
14 Br 0.0000 0.5000 0.0000
15 Br 0.5000 0.0000 0.0000
16 Br 0.5000 0.5000 0.0000



[3]
Li2AlTc: optimized geometry, PBE-GGA.

Crystal system ... orthorhombic
Energy relative to the elements ... -30.1 meV/atom
SG ... Pmmm

Cell: 2.7261 4.4722 4.7567 Å, 90.00 90.00 90.00°
Positions (direct):
1 Li 0.0000 0.0000 0.0000
2 Li 0.5000 0.5000 0.0000
3 Al 0.0000 0.5000 0.5000
4 Tc 0.5000 0.0000 0.5000



[4]
Zr3CoCu: optimized geometry, PBE-GGA.

Crystal system ... cubic
Energy relative to the elements ... 366.5 meV/atom
SG ... Pm-3m

Cell: 4.7938 4.7938 4.7938 Å, 90.00 90.00 90.00°
Positions (direct):
1 Zr 0.0000 0.0000 0.5000
2 Zr 0.0000 0.5000 0.0000
3 Zr 0.5000 0.0000 0.0000
4 Co 0.0000 0.0000 0.0000
5 Cu 0.5000 0.5000 0.5000



[5]
ZnFeRu2: optimized geometry, PBE-GGA.

Crystal system ... trigonal
Energy relative to the elements ... 118.9 meV/atom
SG ... R3m

Cell: 8.7521 8.7521 8.7521 Å, 17.73 17.73 17.73°
Positions (direct):
1 Zn 0.0000 0.0000 0.0000
2 Fe 0.7493 0.7493 0.7493
3 Ru 0.2467 0.2467 0.2467
4 Ru 0.4975 0.4975 0.4975



[6]
SmDyYTm3: optimized geometry, PBE-GGA.

Crystal system ... orthorhombic
Energy relative to the elements ... 24.9 meV/atom
SG ... Cmcm

Cell: 7.9069 7.9069 9.9961 Å, 90.00 90.00 143.16°
Positions (direct):
1 Sm 0.0011 0.9989 0.7500
2 Sm 0.9989 0.0011 0.2500
3 Dy 0.5000 0.5000 0.0000
4 Dy 0.5000 0.5000 0.5000
5 Y 0.3323 0.6677 0.7500
6 Y 0.6677 0.3323 0.2500
7 Tm 0.1673 0.8327 0.9999
8 Tm 0.1673 0.8327 0.5001
9 Tm 0.3329 0.6671 0.2500
10 Tm 0.6671 0.3329 0.7500
11 Tm 0.8327 0.1673 0.0001
12 Tm 0.8327 0.1673 0.4999



Number 1: spin magnetization 0.00 Bohr magnetons per cell. Number 2: spin magnetization 0.00 Bohr magnetons per cell. Number 3: spin magnetization 0.00 Bohr magnetons per cell. Number 4: spin magnetization 0.00 Bohr magnetons per cell. Number 5: spin magnetization 2.02 Bohr magnetons per cell. Number 6: spin magnetization 0.00 Bohr magnetons per cell.